Compound: Ba3In2Cl2O5
Source: Alexandria
Functional: PBEsol
Structure: optimized geometry

Output
**DOS at the Fermi energy**: 0.0 states/eV per cell
**Uncorrected formation energy**: -51.42 kcal/mol of atoms
**Size of the total moment**: 0.00 μB per formula unit

abc: 4.246 4.246 24.920
angles: 90.00 90.00 90.00
Space group I4/mmm (No. 139)
Symmetry-distinct sites (fractional):
Ba 0.000 0.000 0.000 (multiplicity 2)
Ba 0.000 0.000 0.162 (multiplicity 4)
In 0.000 0.000 0.417 (multiplicity 4)
Cl 0.000 0.000 0.295 (multiplicity 4)
O 0.000 0.000 0.500 (multiplicity 2)
O 0.000 0.500 0.094 (multiplicity 8)